(1)
Material: Sr2B2O5
Method: DFT, GGA-PBE
State: relaxed

Cell: 7.8290 5.3871 12.0591 Å, 90.00 92.01 90.00°
With the nearest neighbours (Å) after each atom.
Space group P2_1/c (No. 14)
Inequivalent atoms, fractional coordinates:
Sr  0.1163  0.0537  0.3668 (multiplicity 4)  6 O 2.48-2.60
Sr  0.3768  0.5911  0.1603 (multiplicity 4)  6 O 2.46-2.65
B  0.1629  0.0499  0.0845 (multiplicity 4)  3 O 1.37-1.45
B  0.3398  0.5716  0.4045 (multiplicity 4)  3 O 1.36-1.43
O  0.1016  0.5910  0.6690 (multiplicity 4)  1 B 1.37
O  0.1467  0.1990  0.5713 (multiplicity 4)  1 B 1.37
O  0.2581  0.5998  0.5077 (multiplicity 4)  2 B 1.43-1.45
O  0.3558  0.1493  0.8509 (multiplicity 4)  1 B 1.36
O  0.3898  0.7095  0.8576 (multiplicity 4)  1 B 1.37

**Calculated total energy**: -0.273 hartree per atom
**Formation energy without anion corrections**: -2.82 eV per atom
**Polymorph energy (0 for the lowest one)**: 0 meV per atom
**V**: 508.28 Å³ per cell
**Spin magnetization**: 0.00 μB per cell
**D(E_F)**: 0.0 states/eV/cell

---

(2)
Material: YMn2Cu
Method: DFT, GGA-PBE
State: relaxed

Cell: 4.0463 4.0463 4.0489 Å, 90.00 90.00 90.00°
With the nearest neighbours (Å) after each atom.
Space group P4/mmm (No. 123)
Inequivalent atoms, fractional coordinates:
Y  0.0000  0.0000  0.0000 (multiplicity 1)  4 Cu 2.86, 8 Mn 2.86
Mn  0.0000  0.5000  0.5000 (multiplicity 2)  4 Mn 2.86, 4 Cu 2.86, 4 Y 2.86
Cu  0.5000  0.5000  0.0000 (multiplicity 1)  4 Y 2.86, 8 Mn 2.86

**Calculated total energy**: -0.256 hartree per atom
**Polymorph energy (0 for the lowest one)**: 225 meV per atom
**ΔH_f (0 K)**: 262 meV per atom
**V**: 66.29 Å³ per cell
**Spin magnetization**: 5.69 μB per cell
**D(E_F)**: 3.2 states/eV/cell

---

(3)
Material: LiFeHg2
Method: DFT, GGA-PBE
State: relaxed

Cell: 6.6056 6.6056 6.6056 Å, 90.00 90.00 90.00°
With the nearest neighbours (Å) after each atom.
Space group F-43m (No. 216)
Inequivalent atoms, fractional coordinates:
Li  0.0000  0.0000  0.0000 (multiplicity 4)  4 Fe 2.86, 4 Hg 2.86
Fe  0.2500  0.2500  0.7500 (multiplicity 4)  4 Hg 2.86, 4 Li 2.86
Hg  0.0000  0.0000  0.5000 (multiplicity 4)  4 Hg 2.86, 4 Fe 2.86
Hg  0.2500  0.2500  0.2500 (multiplicity 4)  4 Li 2.86, 4 Hg 2.86

**Calculated total energy**: -0.091 hartree per atom
**ΔH_f (0 K)**: 278 meV per atom
**V**: 288.23 Å³ per cell
**Spin magnetization**: 12.22 μB per cell
**D(E_F)**: 23.7 states/eV/cell

---

(4)
Material: DyPd5Au6
Method: DFT, GGA-PBE
State: relaxed

Cell: 4.1589 8.1550 12.3473 Å, 90.00 90.00 90.00°
With the nearest neighbours (Å) after each atom.
Space group Immm (No. 71)
Inequivalent atoms, fractional coordinates:
Dy  0.0000  0.0000  0.0000 (multiplicity 2)  4 Pd 2.88, 8 Au 2.97-3.00
Pd  0.0000  0.0000  0.3298 (multiplicity 4)  8 Au 2.85-2.89, 4 Pd 2.95-2.96
Pd  0.0000  0.5000  0.0000 (multiplicity 2)  8 Au 2.83-2.88, 4 Pd 2.96
Pd  0.0000  0.5000  0.3392 (multiplicity 4)  2 Dy 2.88, 8 Au 2.88-2.96, 2 Pd 2.95
Au  0.0000  0.2355  0.5000 (multiplicity 4)  6 Pd 2.83-2.93, 4 Au 2.95, 2 Dy 3.00
Au  0.0000  0.2579  0.1693 (multiplicity 8)  7 Pd 2.87-2.96, 4 Au 2.88-2.95, 1 Dy 2.97

**Calculated total energy**: -0.166 hartree per atom
**ΔH_f (0 K)**: -324 meV per atom
**V**: 418.77 Å³ per cell
**Spin magnetization**: 0.00 μB per cell
**D(E_F)**: 11.5 states/eV/cell

---

(5)
Material: NbAuF2
Method: DFT, GGA-PBE
State: relaxed

Cell: 4.1692 4.1692 14.5421 Å, 90.00 90.00 90.00°
With the nearest neighbours (Å) after each atom.
Space group I-42d (No. 122)
Inequivalent atoms, fractional coordinates:
Nb  0.0000  0.0000  0.0000 (multiplicity 4)  4 F 2.13
Au  0.0000  0.0000  0.5000 (multiplicity 4)  4 F 2.69, 4 Nb 2.95
F  0.0958  0.2500  0.1250 (multiplicity 8)  2 Nb 2.13, 2 F 2.23

**Calculated total energy**: -0.196 hartree per atom
**Formation energy without anion corrections**: -1.06 eV per atom
**Polymorph energy (0 for the lowest one)**: 487 meV per atom
**V**: 252.78 Å³ per cell
**Spin magnetization**: 3.70 μB per cell
**D(E_F)**: 11.9 states/eV/cell

---

(6)
Material: MnOs2WN
Method: DFT, GGA-PBE
State: relaxed

Cell: 4.0277 4.0277 3.8700 Å, 90.00 90.00 90.00°
With the nearest neighbours (Å) after each atom.
Space group P4/mmm (No. 123)
Inequivalent atoms, fractional coordinates:
Mn  0.0000  0.0000  0.0000 (multiplicity 1)  2 N 1.94
Os  0.0000  0.5000  0.5000 (multiplicity 2)  2 N 2.01
W  0.5000  0.5000  0.0000 (multiplicity 1)  8 Os 2.79, 4 Mn 2.85
N  0.0000  0.0000  0.5000 (multiplicity 1)  2 Mn 1.94, 4 Os 2.01

**Calculated total energy**: -0.375 hartree per atom
**Formation energy without anion corrections**: 0.37 eV per atom
**Polymorph energy (0 for the lowest one)**: 13 meV per atom
**V**: 62.78 Å³ per cell
**Spin magnetization**: 0.00 μB per cell
**D(E_F)**: 4.3 states/eV/cell